An optimized crystal structure of La3MgP, computed with PBE.

Unit cell a=5.646 b=5.646 c=5.646 alpha=90.00 beta=90.00 gamma=90.00
Positions (direct):
La (0.000, 0.000, 0.500)
La (0.000, 0.500, 0.000)
La (0.500, 0.000, 0.000)
Mg (0.500, 0.500, 0.500)
P (0.000, 0.000, 0.000)

Properties
**Density of states at the Fermi level**: 7.08 states/eV/f.u.
**VASP energy**: -24.4 eV for the cell shown
**Relative energy among the computed polymorphs**: 0.0 kJ per mole of atoms
**ρ**: 4.4 g/cm3
**Crystal system**: cubic

An optimized crystal structure of BeP2Cl, computed with PBE.

Unit cell a=3.311 b=5.143 c=6.007 alpha=89.53 beta=89.47 gamma=71.23
Positions (direct):
Be (0.000, 0.000, 0.000)
P (0.184, 0.639, 0.777)
P (0.821, 0.365, 0.778)
Cl (0.497, 0.999, 0.195)

Properties
**Density of states at the Fermi level**: 1.80 states/eV/f.u.
**VASP energy**: -17.9 eV for the cell shown
**Relative energy among the computed polymorphs**: 0.0 kJ per mole of atoms
**ρ**: 1.8 g/cm3
**Crystal system**: triclinic
**Uncorrected formation energy**: -1.54 eV/f.u.

An optimized crystal structure of Pa2CoGe3Rh4, computed with PBE.

Unit cell a=4.068 b=4.068 c=10.490 alpha=90.00 beta=90.00 gamma=90.00
Positions (direct):
Pa (0.000, 0.500, 0.244)
Pa (0.500, 0.000, 0.756)
Co (0.500, 0.500, 0.000)
Ge (0.000, 0.000, 0.000)
Ge (0.000, 0.500, 0.632)
Ge (0.500, 0.000, 0.368)
Rh (0.000, 0.000, 0.500)
Rh (0.000, 0.500, 0.862)
Rh (0.500, 0.000, 0.138)
Rh (0.500, 0.500, 0.500)

Properties
**Density of states at the Fermi level**: 10.76 states/eV/f.u.
**VASP energy**: -75.7 eV for the cell shown
**ρ**: 11.0 g/cm3
**Crystal system**: tetragonal

An optimized crystal structure of CoTeAs2, computed with PBE.

Unit cell a=4.757 b=4.757 c=3.362 alpha=90.00 beta=90.00 gamma=90.00
Positions (direct):
Co (0.000, 0.000, 0.000)
Te (0.500, 0.500, 0.000)
As (0.000, 0.500, 0.500)
As (0.500, 0.000, 0.500)

Properties
**Density of states at the Fermi level**: 5.33 states/eV/f.u.
**VASP energy**: -16.9 eV for the cell shown
**ρ**: 7.3 g/cm3
**Crystal system**: tetragonal
**Uncorrected formation energy**: 2.69 eV/f.u.

An optimized crystal structure of Tb2PrNd6, computed with PBE.

Unit cell a=3.664 b=8.971 c=9.673 alpha=90.37 beta=100.91 gamma=90.13
Positions (direct):
Tb (0.055, 0.334, 0.111)
Tb (0.945, 0.666, 0.889)
Pr (0.500, 0.000, 0.000)
Nd (0.167, 0.999, 0.333)
Nd (0.279, 0.665, 0.558)
Nd (0.390, 0.335, 0.781)
Nd (0.610, 0.665, 0.219)
Nd (0.721, 0.335, 0.442)
Nd (0.833, 0.001, 0.667)

Properties
**Density of states at the Fermi level**: 14.49 states/eV/f.u.
**VASP energy**: -42.5 eV for the cell shown
**Relative energy among the computed polymorphs**: 0.0 kJ per mole of atoms
**ρ**: 7.0 g/cm3
**Crystal system**: triclinic

An optimized crystal structure of HoTlP2O8, computed with PBE.

Unit cell a=5.799 b=5.799 c=5.799 alpha=105.72 beta=105.72 gamma=117.27
Positions (direct):
Ho (0.000, 0.000, 0.000)
Tl (0.750, 0.250, 0.500)
P (0.250, 0.750, 0.500)
P (0.500, 0.500, 0.000)
O (0.089, 0.414, 0.325)
O (0.089, 0.764, 0.675)
O (0.164, 0.335, 0.829)
O (0.236, 0.911, 0.325)
O (0.506, 0.335, 0.171)
O (0.586, 0.911, 0.675)
O (0.665, 0.494, 0.829)
O (0.665, 0.836, 0.171)

Properties
**Density of states at the Fermi level**: 0.00 states/eV/f.u.
**VASP energy**: -84.9 eV for the cell shown
**ρ**: 6.3 g/cm3
**Crystal system**: tetragonal
**Uncorrected formation energy**: -27.45 eV/f.u.

What is the formula in the second record? BeP2Cl